Record 1
A relaxed LuNiHgBi crystal, computed with PBE-GGA.

Computed properties:
Polymorph energy (0 for the lowest one) (kJ per mole of atoms): 0.0
E_tot (eV/cell): -59.6

```
data_LuNiHgBi
_symmetry_space_group_name_H-M 'F -4 3 m'
_symmetry_Int_Tables_number 216
_symmetry_space_group_name_Hall 'F -4 2 3'
_cell_length_a 7.057
_cell_length_b 7.057
_cell_length_c 7.057
_cell_angle_alpha 90.00
_cell_angle_beta 90.00
_cell_angle_gamma 90.00
loop_
_atom_site_label
_atom_site_type_symbol
_atom_site_fract_x
_atom_site_fract_y
_atom_site_fract_z
Lu1 Lu 0.000 0.000 0.000
Ni1 Ni 0.250 0.250 0.750
Hg1 Hg 0.250 0.250 0.250
Bi1 Bi 0.000 0.000 0.500
```

=====

Record 2
A relaxed TbNbPd crystal, computed with PBE-GGA.

Computed properties:
Polymorph energy (0 for the lowest one) (kJ per mole of atoms): 0.0
E_tot (eV/cell): -77.3
ΔH_f (0 K) (eV per atom): 0.193

```
data_TbNbPd
_symmetry_space_group_name_H-M 'F -4 3 m'
_symmetry_Int_Tables_number 216
_symmetry_space_group_name_Hall 'F -4 2 3'
_cell_length_a 6.559
_cell_length_b 6.559
_cell_length_c 6.559
_cell_angle_alpha 90.00
_cell_angle_beta 90.00
_cell_angle_gamma 90.00
loop_
_atom_site_label
_atom_site_type_symbol
_atom_site_fract_x
_atom_site_fract_y
_atom_site_fract_z
Tb1 Tb 0.000 0.000 0.000
Nb1 Nb 0.000 0.000 0.500
Pd1 Pd 0.250 0.250 0.750
```